(1)
! HfTiPS2, relaxed, DFT GGA-PBEsol; values from VASP
&SYSTEM
  ibrav = 0, nat = 5, ntyp = 4
/
ATOMIC_SPECIES
P 30.97 P.upf
S 32.06 S.upf
Hf 178.49 Hf.upf
Ti 47.87 Ti.upf
CELL_PARAMETERS angstrom
-3.655 -3.013 0.597
2.411 -2.238 3.460
-1.974 3.058 3.353
ATOMIC_POSITIONS angstrom
P -0.987 1.529 1.677
S 1.205 -1.119 1.730
S -1.827 -1.507 0.298
Hf 0.000 0.000 0.000
Ti -1.609 -1.097 3.705
! Spin magnetization (μB per formula unit): 1.43
! Calculated density (g cm⁻³): 4.73
! Space group: P4/mmm (123)
! Formation energy without anion corrections (eV/atom): -0.156


(2)
! Ta2TcSb, relaxed, DFT GGA-PBEsol; values from VASP
&SYSTEM
  ibrav = 0, nat = 4, ntyp = 3
/
ATOMIC_SPECIES
Sb 121.76 Sb.upf
Ta 180.95 Ta.upf
Tc 98.00 Tc.upf
CELL_PARAMETERS angstrom
3.010 0.000 0.003
0.000 4.533 0.000
-1.248 0.000 5.171
ATOMIC_POSITIONS angstrom
Sb 0.257 2.267 3.889
Ta 2.893 0.000 0.008
Ta 1.815 2.267 1.445
Tc 0.688 0.000 2.420
! Spin magnetization (μB per formula unit): 0.00
! Calculated density (g cm⁻³): 13.69
! Space group: Pm (6)
! Formation energy without anion corrections (eV/atom): 0.071


(3)
! BaLi2Ti2, relaxed, DFT GGA-PBEsol; values from VASP
&SYSTEM
  ibrav = 0, nat = 5, ntyp = 3
/
ATOMIC_SPECIES
Li 6.94 Li.upf
Ba 137.33 Ba.upf
Ti 47.87 Ti.upf
CELL_PARAMETERS angstrom
-0.765 -3.468 -0.723
3.375 -0.938 0.932
-4.150 0.947 8.936
ATOMIC_POSITIONS angstrom
Li -2.110 -0.932 6.706
Li 0.570 -2.528 2.439
Ba 0.000 0.000 0.000
Ti 0.265 -1.097 4.986
Ti -1.805 -2.362 4.159
! ΔH_f (0 K) (eV/atom): 0.5274
! Spin magnetization (μB per formula unit): 0.00
! Calculated density (g cm⁻³): 3.26
! Space group: I4/mmm (139)